Record 1
Compound: PrMnTlTe3
Source: the Alexandria database
Functional: GGA-PBE
Structure: relaxed

Summary:
N(E_F) = 0.024 states/eV per atom
Crystal system = monoclinic
Formation energy (no corrections) = -424.1 kJ/mol of formula units
Total energy = -5.023 eV per atom

Unit cell a=4.547 b=9.729 c=10.297 alpha=105.23 beta=90.00 gamma=90.00
Fractional coordinates of all 12 atoms:
Te 0.750 0.451 0.173
Tl 0.250 0.201 0.217
Pr 0.250 0.671 0.145
Te 0.250 0.793 0.477
Mn 0.750 0.915 0.398
Pr 0.750 0.329 0.855
Tl 0.750 0.799 0.783
Te 0.750 0.901 0.133
Te 0.250 0.549 0.827
Te 0.250 0.099 0.867
Te 0.750 0.207 0.523
Mn 0.250 0.085 0.602


Record 2
Compound: Sr3CaFe
Source: the Alexandria database
Functional: GGA-PBE
Structure: relaxed

Summary:
E_form = 0.4674 eV/atom
N(E_F) = 1.946 states/eV per atom
Crystal system = cubic
Total energy = -2.635 eV per atom

Unit cell a=5.892 b=5.892 c=5.892 alpha=90.00 beta=90.00 gamma=90.00
Fractional coordinates of all 5 atoms:
Sr 0.000 0.000 0.500
Sr 0.000 0.500 0.000
Ca 0.500 0.500 0.500
Sr 0.500 0.000 0.000
Fe 0.000 0.000 0.000


Record 3
Compound: Sc5CuTe8
Source: the Alexandria database
Functional: GGA-PBE
Structure: relaxed

Summary:
Crystal system = cubic
Formation energy (no corrections) = -1408.9 kJ/mol of formula units
Total energy = -5.392 eV per atom

Unit cell a=8.497 b=8.497 c=8.497 alpha=60.00 beta=60.00 gamma=60.00
Fractional coordinates of all 14 atoms:
Te 0.870 0.377 0.377
Sc 0.618 0.618 0.618
Te 0.866 0.866 0.866
Te 0.377 0.377 0.870
Te 0.866 0.866 0.401
Sc 0.618 0.145 0.618
Te 0.866 0.401 0.866
Te 0.377 0.377 0.377
Sc 0.000 0.000 0.000
Sc 0.618 0.618 0.145
Te 0.377 0.870 0.377
Sc 0.145 0.618 0.618
Cu 0.250 0.250 0.250
Te 0.401 0.866 0.866


Record 4
Compound: ZnTc2Ni6
Source: the Alexandria database
Functional: GGA-PBE
Structure: relaxed

Summary:
E_form = 0.1704 eV/atom
N(E_F) = 1.050 states/eV per atom
Crystal system = orthorhombic
Total energy = -6.129 eV per atom

Unit cell a=4.029 b=7.699 c=7.699 alpha=76.56 beta=90.00 gamma=90.00
Fractional coordinates of all 18 atoms:
Ni 0.250 0.375 0.028
Tc 0.250 0.243 0.385
Ni 0.250 0.041 0.170
Tc 0.250 0.615 0.757
Ni 0.750 0.219 0.589
Ni 0.750 0.959 0.830
Ni 0.750 0.028 0.375
Tc 0.750 0.757 0.615
Zn 0.250 0.192 0.808
Ni 0.750 0.170 0.041
Zn 0.750 0.808 0.192
Tc 0.750 0.385 0.243
Ni 0.250 0.830 0.959
Ni 0.750 0.625 0.972
Ni 0.250 0.972 0.625
Ni 0.750 0.411 0.781
Ni 0.250 0.781 0.411
Ni 0.250 0.589 0.219